# Pr8Te4As3P, optimized geometry, DFT GGA-PBE
data_Pr8Te4As3P
_chemical_formula_sum 'Pr8 Te4 As3 P1'
_cell_length_a 8.940
_cell_length_b 8.940
_cell_length_c 8.940
_cell_angle_alpha 58.31
_cell_angle_beta 58.31
_cell_angle_gamma 58.31
_symmetry_space_group_name_H-M 'P 1'
_symmetry_Int_Tables_number 1
_symmetry_space_group_name_Hall 'P 1'
loop_
_atom_site_label
_atom_site_fract_x
_atom_site_fract_y
_atom_site_fract_z
Pr1 0.240 0.240 0.240
Pr2 0.245 0.737 0.737
Pr3 0.263 0.263 0.755
Pr4 0.263 0.755 0.263
Pr5 0.737 0.245 0.737
Pr6 0.737 0.737 0.245
Pr7 0.755 0.263 0.263
Pr8 0.760 0.760 0.760
Te1 0.000 0.000 0.000
Te2 0.000 0.500 0.500
Te3 0.500 0.000 0.500
Te4 0.500 0.500 0.000
As1 0.000 0.000 0.500
As2 0.000 0.500 0.000
As3 0.500 0.000 0.000
P1 0.500 0.500 0.500
# Total magnetization: 0.00 μB per cell
# ΔE_f (raw): -1549.4 meV/atom